[1]
## Nb3PtAu (PBEsol)

Data for a relaxed structure of Nb3PtAu.

Computed properties:
Energy of formation from the pure elements, meV per atom: 1125

abc: 4.8142 4.8142 4.8142
angles: 90.00 90.00 90.00
Space group Pm-3m (No. 221)
Unique sites:
Nb (0.0000, 0.0000, 0.5000) [3 per cell]
Pt (0.0000, 0.0000, 0.0000) [1 per cell]
Au (0.5000, 0.5000, 0.5000) [1 per cell]

---

[2]
## HfCuGe2 (PBEsol)

Data for a relaxed structure of HfCuGe2.

Computed properties:
Energy of formation from the pure elements, meV per atom: 33

abc: 6.4085 6.4085 6.4085
angles: 90.00 90.00 90.00
Space group Fm-3m (No. 225)
Unique sites:
Hf (0.0000, 0.0000, 0.0000) [4 per cell]
Cu (0.0000, 0.0000, 0.5000) [4 per cell]
Ge (0.2500, 0.2500, 0.2500) [8 per cell]

---

[3]
## TcAg (PBEsol)

Data for a relaxed structure of TcAg.

Computed properties:
Energy above the most stable polymorph in this dataset, eV/atom: 0.000
Energy of formation from the pure elements, meV per atom: 267

abc: 2.8635 2.8635 7.6363
angles: 90.00 90.00 90.00
Space group P4/nmm (No. 129, origin choice 2)
Unique sites:
Tc (0.2500, 0.2500, 0.0939) [2 per cell]
Ag (0.2500, 0.2500, 0.6303) [2 per cell]

---

[4]
## Tc5W (PBEsol)

Data for a relaxed structure of Tc5W.

Computed properties:
Energy above the most stable polymorph in this dataset, eV/atom: 0.000
Energy of formation from the pure elements, meV per atom: 75

abc: 10.0111 2.7371 6.4787
angles: 90.00 105.02 90.00
Space group Cm (No. 8)
Unique sites:
Tc (0.0000, 0.0000, 0.0000) [2 per cell]
Tc (0.0522, 0.0000, 0.6200) [2 per cell]
Tc (0.1573, 0.5000, 0.3414) [2 per cell]
Tc (0.2145, 0.5000, 0.9432) [2 per cell]
Tc (0.3263, 0.0000, 0.6775) [2 per cell]
W (0.3825, 0.0000, 0.2826) [2 per cell]

---

[5]
## LiH2PdI (PBEsol)

Data for a relaxed structure of LiH2PdI.

Computed properties:
VASP energy, eV per atom: -2.589

abc: 3.8076 3.8076 6.2867
angles: 90.00 90.00 90.00
Space group P4/mmm (No. 123)
Unique sites:
Li (0.0000, 0.0000, 0.0000) [1 per cell]
H (0.0000, 0.5000, 0.5000) [2 per cell]
Pd (0.5000, 0.5000, 0.0000) [1 per cell]
I (0.0000, 0.0000, 0.5000) [1 per cell]

---

[6]
## LaRh (PBEsol)

Data for a relaxed structure of LaRh.

Computed properties:
Energy of formation from the pure elements, meV per atom: -501

abc: 3.6987 4.0796 11.9624
angles: 90.00 90.00 90.00
Space group Imma (No. 74)
Unique sites:
La (0.0000, 0.2500, 0.1140) [4 per cell]
Rh (0.0000, 0.2500, 0.6636) [4 per cell]

---

[7]
## Cl (PBEsol)

Data for a relaxed structure of Cl.

Computed properties:
Energy above the most stable polymorph in this dataset, eV/atom: 0.071
Formation energy without anion corrections, eV per formula unit: 0.071

abc: 10.4966 10.4966 8.5577
angles: 90.00 90.00 90.00
Space group P4_2/ncm (No. 138, origin choice 2)
Unique sites:
Cl (0.1106, 0.6506, 0.1107) [16 per cell]

---

[8]
## VZnSe2O7 (PBEsol)

Data for a relaxed structure of VZnSe2O7.

Computed properties:
Formation energy without anion corrections, eV per formula unit: -14.669

abc: 7.4300 12.4383 7.6930
angles: 90.00 121.12 90.00
Space group P2_1/c (No. 14)
Unique sites:
V (0.0397, 0.2454, 0.2763) [4 per cell]
Zn (0.2838, 0.5076, 0.4871) [4 per cell]
Se (0.1667, 0.5126, 0.8466) [4 per cell]
Se (0.4601, 0.7352, 0.3878) [4 per cell]
O (0.0039, 0.0922, 0.1920) [4 per cell]
O (0.0353, 0.2320, 0.4849) [4 per cell]
O (0.0613, 0.0967, 0.7828) [4 per cell]
O (0.2597, 0.7332, 0.9293) [4 per cell]
O (0.3218, 0.5405, 0.7520) [4 per cell]
O (0.3385, 0.2223, 0.3792) [4 per cell]
O (0.4661, 0.5951, 0.4201) [4 per cell]

---

[9]
## K2AuCl (PBEsol)

Data for a relaxed structure of K2AuCl.

Computed properties:
Energy above the most stable polymorph in this dataset, eV/atom: 0.031
Formation energy without anion corrections, eV per formula unit: -3.787

abc: 5.1247 3.9602 11.8564
angles: 90.00 90.00 90.00
Space group Amm2 (No. 38)
Unique sites:
K (0.0000, 0.0000, 0.0000) [2 per cell]
K (0.5000, 0.0000, 0.2394) [2 per cell]
Au (0.5000, 0.0000, 0.5090) [2 per cell]
Cl (0.0000, 0.0000, 0.7327) [2 per cell]

---

[10]
## ZrCd22 (PBEsol)

Data for a relaxed structure of ZrCd22.

Computed properties:
Energy of formation from the pure elements, meV per atom: 5

abc: 15.6450 15.6450 15.6450
angles: 90.00 90.00 90.00
Space group Fd-3m (No. 227, origin choice 2)
Unique sites:
Zr (0.1250, 0.1250, 0.1250) [8 per cell]
Cd (0.0000, 0.0000, 0.0000) [16 per cell]
Cd (0.0000, 0.0000, 0.5000) [16 per cell]
Cd (0.0166, 0.3750, 0.8750) [48 per cell]
Cd (0.0623, 0.0623, 0.3171) [96 per cell]

---

[11]
## MoPt3 (PBEsol)

Data for a relaxed structure of MoPt3.

Computed properties:
Energy of formation from the pure elements, meV per atom: -164

abc: 2.7625 9.0527 4.7885
angles: 90.00 90.00 90.00
Space group Imm2 (No. 44)
Unique sites:
Mo (0.0000, 0.0000, 0.0000) [2 per cell]
Pt (0.0000, 0.2559, 0.3438) [4 per cell]
Pt (0.0000, 0.5000, 0.9956) [2 per cell]

---

[12]
## SiAu (PBEsol)

Data for a relaxed structure of SiAu.

Computed properties:
Formation energy without anion corrections, eV per formula unit: 0.353

abc: 3.1199 3.1199 7.7888
angles: 90.00 90.00 120.00
Space group P-3m1 (No. 164)
Unique sites:
Si (0.3333, 0.6667, 0.1186) [2 per cell]
Au (0.3333, 0.6667, 0.6456) [2 per cell]

---

[13]
## B3SbBr (PBEsol)

Data for a relaxed structure of B3SbBr.

Computed properties:
Formation energy without anion corrections, eV per formula unit: 10.381

abc: 4.5673 4.5673 4.5673
angles: 90.00 90.00 90.00
Space group Pm-3m (No. 221)
Unique sites:
B (0.0000, 0.0000, 0.5000) [3 per cell]
Sb (0.0000, 0.0000, 0.0000) [1 per cell]
Br (0.5000, 0.5000, 0.5000) [1 per cell]

---

[14]
## Ge3Os2 (PBEsol)

Data for a relaxed structure of Ge3Os2.

Computed properties:
Energy above the most stable polymorph in this dataset, eV/atom: 0.010
Energy of formation from the pure elements, meV per atom: -115

abc: 5.7576 5.7576 9.2551
angles: 90.00 90.00 90.00
Space group P-4c2 (No. 116)
Unique sites:
Ge (0.1490, 0.2829, 0.4151) [8 per cell]
Ge (0.3296, 0.3296, 0.7500) [4 per cell]
Os (0.0000, 0.0000, 0.2500) [2 per cell]
Os (0.0000, 0.5000, 0.1251) [4 per cell]
Os (0.5000, 0.5000, 0.0000) [2 per cell]

---

[15]
## LiLaAu (PBEsol)

Data for a relaxed structure of LiLaAu.

Computed properties:
Energy above the most stable polymorph in this dataset, eV/atom: 0.000
Energy of formation from the pure elements, meV per atom: -493

abc: 4.5333 4.5333 3.8126
angles: 90.00 90.00 120.00
Space group P-6m2 (No. 187)
Unique sites:
Li (0.0000, 0.0000, 0.0000) [1 per cell]
La (0.6667, 0.3333, 0.5000) [1 per cell]
Au (0.3333, 0.6667, 0.0000) [1 per cell]

---

[16]
## IrPtSe2 (PBEsol)

Data for a relaxed structure of IrPtSe2.

Computed properties:
Formation energy without anion corrections, eV per formula unit: 2.693

abc: 6.3942 6.3942 6.3942
angles: 90.00 90.00 90.00
Space group F-43m (No. 216)
Unique sites:
Ir (0.0000, 0.0000, 0.0000) [4 per cell]
Pt (0.2500, 0.2500, 0.7500) [4 per cell]
Se (0.0000, 0.0000, 0.5000) [4 per cell]
Se (0.2500, 0.2500, 0.2500) [4 per cell]

---

[17]
## KMgOsC2 (PBEsol)

Data for a relaxed structure of KMgOsC2.

Computed properties:
Energy of formation from the pure elements, meV per atom: 2947

abc: 4.2945 4.2945 4.7871
angles: 90.00 90.00 90.00
Space group P4/mmm (No. 123)
Unique sites:
K (0.0000, 0.0000, 0.0000) [1 per cell]
Mg (0.5000, 0.5000, 0.5000) [1 per cell]
Os (0.5000, 0.5000, 0.0000) [1 per cell]
C (0.0000, 0.5000, 0.5000) [2 per cell]

---

[18]
## ZrRh2W (PBEsol)

Data for a relaxed structure of ZrRh2W.

Computed properties:
Energy above the most stable polymorph in this dataset, eV/atom: 0.105
Energy of formation from the pure elements, meV per atom: -206

abc: 3.8842 3.8842 8.3063
angles: 90.00 90.00 90.00
Space group I-4m2 (No. 119)
Unique sites:
Zr (0.0000, 0.0000, 0.0000) [2 per cell]
Rh (0.0000, 0.0000, 0.5000) [2 per cell]
Rh (0.0000, 0.5000, 0.2500) [2 per cell]
W (0.0000, 0.5000, 0.7500) [2 per cell]

---

[19]
## LiHg2Rh (PBEsol)

Data for a relaxed structure of LiHg2Rh.

Computed properties:
Energy of formation from the pure elements, meV per atom: -143

abc: 9.8905 3.1194 4.6000
angles: 90.00 107.62 90.00
Space group Cm (No. 8)
Unique sites:
Li (0.0000, 0.0000, 0.0000) [2 per cell]
Hg (0.0221, 0.5000, 0.5359) [2 per cell]
Hg (0.2581, 0.5000, 0.1726) [2 per cell]
Rh (0.2658, 0.0000, 0.6765) [2 per cell]

---

[20]
## KZn2Hg (PBEsol)

Data for a relaxed structure of KZn2Hg.

Computed properties:
Energy of formation from the pure elements, meV per atom: -42

abc: 4.5326 4.5326 18.1414
angles: 90.00 90.00 120.00
Space group R3m (No. 160, hexagonal axes)
Unique sites:
K (0.0000, 0.0000, 0.0000) [3 per cell]
Zn (0.0000, 0.0000, 0.4937) [3 per cell]
Zn (0.0000, 0.0000, 0.8159) [3 per cell]
Hg (0.0000, 0.0000, 0.1889) [3 per cell]

---

[21]
## Y2MnMo (PBEsol)

Data for a relaxed structure of Y2MnMo.

Computed properties:
Energy above the most stable polymorph in this dataset, eV/atom: 0.274
Energy of formation from the pure elements, meV per atom: 486

abc: 6.9175 6.9175 6.9175
angles: 90.00 90.00 90.00
Space group Fm-3m (No. 225)
Unique sites:
Y (0.2500, 0.2500, 0.2500) [8 per cell]
Mn (0.0000, 0.0000, 0.0000) [4 per cell]
Mo (0.0000, 0.0000, 0.5000) [4 per cell]

---

[22]
## AlAs2Os (PBEsol)

Data for a relaxed structure of AlAs2Os.

Computed properties:
Energy of formation from the pure elements, meV per atom: 389

abc: 3.1608 4.3288 4.5991
angles: 90.00 90.00 90.00
Space group Pmmm (No. 47)
Unique sites:
Al (0.0000, 0.0000, 0.0000) [1 per cell]
As (0.0000, 0.5000, 0.5000) [1 per cell]
As (0.5000, 0.0000, 0.5000) [1 per cell]
Os (0.5000, 0.5000, 0.0000) [1 per cell]

---

[23]
## Ni2IrAu (PBEsol)

Data for a relaxed structure of Ni2IrAu.

Computed properties:
Energy above the most stable polymorph in this dataset, eV/atom: 0.089
Energy of formation from the pure elements, meV per atom: 148

abc: 5.4029 7.1183 2.6901
angles: 90.00 90.00 90.00
Space group Cmmm (No. 65)
Unique sites:
Ni (0.2500, 0.2500, 0.0000) [4 per cell]
Ir (0.0000, 0.0000, 0.5000) [2 per cell]
Au (0.0000, 0.5000, 0.5000) [2 per cell]

---

[24]
## YCd3S (PBEsol)

Data for a relaxed structure of YCd3S.

Computed properties:
Formation energy without anion corrections, eV per formula unit: 1.336

abc: 5.0561 5.0561 5.0561
angles: 90.00 90.00 90.00
Space group Pm-3m (No. 221)
Unique sites:
Y (0.0000, 0.0000, 0.0000) [1 per cell]
Cd (0.0000, 0.5000, 0.5000) [3 per cell]
S (0.5000, 0.5000, 0.5000) [1 per cell]

---

no.,density (g cm⁻³)
1,9.98
2,9.77
3,10.92
4,13.05
5,4.41
6,8.90
7,1.00
8,4.22
9,4.29
10,8.90
11,18.89
12,11.38
13,4.08
14,12.95
15,8.39
16,13.85
17,5.22
18,12.74
19,12.55
20,5.72
21,6.60
22,9.69
23,16.26
24,5.89